La2NdDy9 after structural relaxation, computed with PBE-GGA.

## Properties
N(E_F): 1.554 states/eV per atom
space group: P4/mmm (123)
spin magnetization: 0.00 Bohr magnetons per cell
energy above the lowest structure with this stoichiometry: 0.0 kJ/mol of atoms
mass density: 8.0 g/cm³
energy of formation from the pure elements: 27 meV/atom

Cell lengths 5.0769, 5.0769, 15.2391 Å; angles 90.00, 90.00, 90.00 degrees
Positions (direct):
1 La 0.0000 0.0000 0.1662
2 La 0.0000 0.0000 0.8338
3 Nd 0.0000 0.0000 0.5000
4 Dy 0.0000 0.5000 0.0000
5 Dy 0.0000 0.5000 0.3350
6 Dy 0.0000 0.5000 0.6650
7 Dy 0.5000 0.0000 0.0000
8 Dy 0.5000 0.0000 0.3350
9 Dy 0.5000 0.0000 0.6650
10 Dy 0.5000 0.5000 0.1677
11 Dy 0.5000 0.5000 0.5000
12 Dy 0.5000 0.5000 0.8323

---

ScSb2P after structural relaxation, computed with PBE-GGA.

## Properties
formation energy without anion corrections: -0.92 eV per formula unit
N(E_F): 0.398 states/eV per atom
space group: P2/m (10)
spin magnetization: 0.00 Bohr magnetons per cell
mass density: 5.8 g/cm³

Cell lengths 4.1529, 3.9719, 5.7169 Å; angles 90.00, 102.12, 90.00 degrees
Positions (direct):
1 Sc 0.0000 0.0000 0.0000
2 Sb 0.4234 0.5000 0.7409
3 Sb 0.5766 0.5000 0.2591
4 P 0.0000 0.0000 0.5000

---

RbGe2AsIr after structural relaxation, computed with PBE-GGA.

## Properties
N(E_F): 1.089 states/eV per atom
space group: P4/mmm (123)
spin magnetization: 0.40 Bohr magnetons per cell
mass density: 5.6 g/cm³
energy of formation from the pure elements: 2513 meV/atom

Cell lengths 5.2744, 5.2744, 5.2865 Å; angles 90.00, 90.00, 90.00 degrees
Positions (direct):
1 Rb 0.0000 0.0000 0.0000
2 Ge 0.0000 0.5000 0.0000
3 Ge 0.5000 0.0000 0.0000
4 As 0.0000 0.0000 0.5000
5 Ir 0.5000 0.5000 0.5000

---

La2MnCu after structural relaxation, computed with PBE-GGA.

## Properties
N(E_F): 1.042 states/eV per atom
space group: C2/m (12)
spin magnetization: 2.55 Bohr magnetons per cell
mass density: 6.3 g/cm³
energy of formation from the pure elements: 282 meV/atom

Cell lengths 4.1403, 4.1403, 8.0313 Å; angles 98.80, 98.80, 50.11 degrees
Positions (direct):
1 La 0.2429 0.2429 0.2513
2 La 0.7571 0.7571 0.7487
3 Mn 0.0000 0.0000 0.5000
4 Cu 0.5000 0.5000 0.0000

---

Sm3ZnIr2 after structural relaxation, computed with PBE-GGA.

## Properties
N(E_F): 0.600 states/eV per atom
space group: Pnma (62)
spin magnetization: 0.00 Bohr magnetons per cell
mass density: 10.5 g/cm³
energy of formation from the pure elements: -614 meV/atom

Cell lengths 11.8701, 4.0868, 11.7563 Å; angles 90.00, 90.00, 90.00 degrees
Positions (direct):
1 Sm 0.0521 0.2500 0.1240
2 Sm 0.1287 0.7500 0.5740
3 Sm 0.2000 0.2500 0.8226
4 Sm 0.3000 0.7500 0.3226
5 Sm 0.3713 0.2500 0.0740
6 Sm 0.4479 0.7500 0.6240
7 Sm 0.5521 0.2500 0.3760
8 Sm 0.6287 0.7500 0.9260
9 Sm 0.7000 0.2500 0.6774
10 Sm 0.8000 0.7500 0.1774
11 Sm 0.8713 0.2500 0.4260
12 Sm 0.9479 0.7500 0.8760
13 Zn 0.1233 0.2500 0.3793
14 Zn 0.3767 0.7500 0.8793
15 Zn 0.6233 0.2500 0.1207
16 Zn 0.8767 0.7500 0.6207
17 Ir 0.0110 0.7500 0.3110
18 Ir 0.1846 0.7500 0.9926
19 Ir 0.3154 0.2500 0.4926
20 Ir 0.4890 0.2500 0.8110
21 Ir 0.5110 0.7500 0.1890
22 Ir 0.6846 0.7500 0.5074
23 Ir 0.8154 0.2500 0.0074
24 Ir 0.9890 0.2500 0.6890

---

Pm3Dy2Mg2 after structural relaxation, computed with PBE-GGA.

## Properties
N(E_F): 1.242 states/eV per atom
space group: Cmmm (65)
spin magnetization: 0.35 Bohr magnetons per cell
mass density: 6.2 g/cm³
energy of formation from the pure elements: 41 meV/atom

Cell lengths 12.0120, 12.0120, 3.4838 Å; angles 90.00, 90.00, 154.42 degrees
Positions (direct):
1 Pm 0.0000 0.0000 0.0000
2 Pm 0.1493 0.8507 0.0000
3 Pm 0.8507 0.1493 0.0000
4 Dy 0.2878 0.7122 0.5000
5 Dy 0.7122 0.2878 0.5000
6 Mg 0.4306 0.5694 0.5000
7 Mg 0.5694 0.4306 0.5000

---

Cs2PdSe after structural relaxation, computed with PBE-GGA.

## Properties
formation energy without anion corrections: -0.61 eV per formula unit
N(E_F): 0.742 states/eV per atom
space group: Fm-3m (225)
spin magnetization: 0.00 Bohr magnetons per cell
energy above the lowest structure with this stoichiometry: 39.3 kJ/mol of atoms
mass density: 5.0 g/cm³

Cell lengths 5.9449, 5.9449, 5.9449 Å; angles 60.00, 60.00, 60.00 degrees
Positions (direct):
1 Cs 0.2500 0.2500 0.2500
2 Cs 0.7500 0.7500 0.7500
3 Pd 0.0000 0.0000 0.0000
4 Se 0.5000 0.5000 0.5000

---

Pm8NdMg6 after structural relaxation, computed with PBE-GGA.

## Properties
N(E_F): 1.639 states/eV per atom
space group: R-3 (148)
spin magnetization: 0.01 Bohr magnetons per cell
mass density: 4.9 g/cm³
energy of formation from the pure elements: 156 meV/atom

Cell lengths 8.5041, 8.5041, 8.5041 Å; angles 66.14, 66.14, 66.14 degrees
Positions (direct):
1 Pm 0.0485 0.7147 0.3812
2 Pm 0.1665 0.1665 0.1665
3 Pm 0.2853 0.6188 0.9515
4 Pm 0.3812 0.0485 0.7147
5 Pm 0.6188 0.9515 0.2853
6 Pm 0.7147 0.3812 0.0485
7 Pm 0.8335 0.8335 0.8335
8 Pm 0.9515 0.2853 0.6188
9 Nd 0.5000 0.5000 0.5000
10 Mg 0.1193 0.4536 0.7873
11 Mg 0.2127 0.8807 0.5464
12 Mg 0.4536 0.7873 0.1193
13 Mg 0.5464 0.2127 0.8807
14 Mg 0.7873 0.1193 0.4536
15 Mg 0.8807 0.5464 0.2127

---

CsNaSr2Rh after structural relaxation, computed with PBE-GGA.

## Properties
N(E_F): 0.752 states/eV per atom
space group: P4/mmm (123)
spin magnetization: 0.00 Bohr magnetons per cell
energy above the lowest structure with this stoichiometry: 3.5 kJ/mol of atoms
mass density: 3.1 g/cm³
energy of formation from the pure elements: 89 meV/atom

Cell lengths 5.8742, 5.8742, 6.7613 Å; angles 90.00, 90.00, 90.00 degrees
Positions (direct):
1 Cs 0.0000 0.0000 0.0000
2 Na 0.5000 0.5000 0.0000
3 Sr 0.0000 0.5000 0.5000
4 Sr 0.5000 0.0000 0.5000
5 Rh 0.0000 0.0000 0.5000

---

CsRbMn2Br6 after structural relaxation, computed with PBE-GGA.

## Properties
formation energy without anion corrections: -11.93 eV per formula unit
N(E_F): 0.000 states/eV per atom
space group: C2/c (15)
spin magnetization: 20.00 Bohr magnetons per cell
mass density: 3.1 g/cm³

Cell lengths 10.5220, 10.5220, 7.8980 Å; angles 99.16, 99.16, 88.05 degrees
Positions (direct):
1 Cs 0.1774 0.8226 0.7500
2 Cs 0.8226 0.1774 0.2500
3 Rb 0.3989 0.6011 0.2500
4 Rb 0.6011 0.3989 0.7500
5 Mn 0.1289 0.3017 0.7574
6 Mn 0.3017 0.1289 0.2574
7 Mn 0.6983 0.8711 0.7426
8 Mn 0.8711 0.6983 0.2426
9 Br 0.0891 0.6190 0.3310
10 Br 0.1195 0.1743 0.0106
11 Br 0.1743 0.1195 0.5106
12 Br 0.2886 0.4752 0.8234
13 Br 0.3810 0.9109 0.1690
14 Br 0.4752 0.2886 0.3234
15 Br 0.5248 0.7114 0.6766
16 Br 0.6190 0.0891 0.8310
17 Br 0.7114 0.5248 0.1766
18 Br 0.8257 0.8805 0.4894
19 Br 0.8805 0.8257 0.9894
20 Br 0.9109 0.3810 0.6690

---

SmErIn after structural relaxation, computed with PBE-GGA.

## Properties
N(E_F): 0.753 states/eV per atom
space group: P3m1 (156)
spin magnetization: 0.00 Bohr magnetons per cell
energy above the lowest structure with this stoichiometry: 6.8 kJ/mol of atoms
mass density: 8.2 g/cm³
energy of formation from the pure elements: -232 meV/atom

Cell lengths 5.2474, 5.2474, 3.6731 Å; angles 90.00, 90.00, 120.00 degrees
Positions (direct):
1 Sm 0.0000 0.0000 0.0000
2 Er 0.6667 0.3333 0.4478
3 In 0.3333 0.6667 0.6455

---

Sr2LaCd2 after structural relaxation, computed with PBE-GGA.

## Properties
N(E_F): 0.455 states/eV per atom
space group: P4/mbm (127)
spin magnetization: 0.55 Bohr magnetons per cell
energy above the lowest structure with this stoichiometry: 11.7 kJ/mol of atoms
mass density: 5.3 g/cm³
energy of formation from the pure elements: -112 meV/atom

Cell lengths 9.5794, 9.5794, 3.7096 Å; angles 90.00, 90.00, 90.00 degrees
Positions (direct):
1 Sr 0.1344 0.3656 0.0000
2 Sr 0.3656 0.8656 0.0000
3 Sr 0.6344 0.1344 0.0000
4 Sr 0.8656 0.6344 0.0000
5 La 0.0000 0.0000 0.0000
6 La 0.5000 0.5000 0.0000
7 Cd 0.1646 0.6646 0.5000
8 Cd 0.3354 0.1646 0.5000
9 Cd 0.6646 0.8354 0.5000
10 Cd 0.8354 0.3354 0.5000

---

CrRhW after structural relaxation, computed with PBE-GGA.

## Properties
N(E_F): 1.556 states/eV per atom
space group: F-43m (216)
spin magnetization: 0.00 Bohr magnetons per cell
energy above the lowest structure with this stoichiometry: 61.9 kJ/mol of atoms
mass density: 11.7 g/cm³
energy of formation from the pure elements: 680 meV/atom

Cell lengths 4.0823, 4.0823, 4.0823 Å; angles 60.00, 60.00, 60.00 degrees
Positions (direct):
1 Cr 0.0000 0.0000 0.0000
2 Rh 0.7500 0.7500 0.7500
3 W 0.2500 0.2500 0.2500

---

Nd2Ho6In after structural relaxation, computed with PBE-GGA.

## Properties
N(E_F): 1.326 states/eV per atom
space group: C2/c (15)
spin magnetization: 0.00 Bohr magnetons per cell
energy above the lowest structure with this stoichiometry: 0.0 kJ/mol of atoms
mass density: 8.2 g/cm³
energy of formation from the pure elements: -29 meV/atom

Cell lengths 6.5245, 6.5245, 13.8639 Å; angles 102.68, 102.68, 88.99 degrees
Positions (direct):
1 Nd 0.0421 0.3647 0.3045
2 Nd 0.3647 0.0421 0.8045
3 Nd 0.6353 0.9579 0.1955
4 Nd 0.9579 0.6353 0.6955
5 Ho 0.0735 0.6828 0.1344
6 Ho 0.1606 0.1855 0.5788
7 Ho 0.1855 0.1606 0.0788
8 Ho 0.3172 0.9265 0.3656
9 Ho 0.3204 0.6613 0.5442
10 Ho 0.3387 0.6796 0.9558
11 Ho 0.6613 0.3204 0.0442
12 Ho 0.6796 0.3387 0.4558
13 Ho 0.6828 0.0735 0.6344
14 Ho 0.8145 0.8394 0.9212
15 Ho 0.8394 0.8145 0.4212
16 Ho 0.9265 0.3172 0.8656
17 In 0.4929 0.5071 0.7500
18 In 0.5071 0.4929 0.2500

---

Hg2OsBr after structural relaxation, computed with PBE-GGA.

## Properties
formation energy without anion corrections: 2.77 eV per formula unit
N(E_F): 0.596 states/eV per atom
space group: Cmm2 (35)
spin magnetization: 0.00 Bohr magnetons per cell
energy above the lowest structure with this stoichiometry: 10.8 kJ/mol of atoms
mass density: 12.5 g/cm³

Cell lengths 3.1681, 3.1681, 10.7475 Å; angles 90.00, 90.00, 124.13 degrees
Positions (direct):
1 Hg 0.0000 0.0000 0.0000
2 Hg 0.5000 0.5000 0.2728
3 Os 0.5000 0.5000 0.7765
4 Br 0.0000 0.0000 0.5922

---

Pr2MnB2Rh5 after structural relaxation, computed with PBE-GGA.

## Properties
N(E_F): 0.334 states/eV per atom
space group: P4/mbm (127)
spin magnetization: 8.75 Bohr magnetons per cell
mass density: 9.4 g/cm³
energy of formation from the pure elements: -516 meV/atom

Cell lengths 9.7591, 9.7591, 3.2398 Å; angles 90.00, 90.00, 90.00 degrees
Positions (direct):
1 Pr 0.1773 0.3227 0.0000
2 Pr 0.3227 0.8227 0.0000
3 Pr 0.6773 0.1773 0.0000
4 Pr 0.8227 0.6773 0.0000
5 Mn 0.0000 0.0000 0.0000
6 Mn 0.5000 0.5000 0.0000
7 B 0.1212 0.6212 0.0000
8 B 0.3788 0.1212 0.0000
9 B 0.6212 0.8788 0.0000
10 B 0.8788 0.3788 0.0000
11 Rh 0.0000 0.5000 0.5000
12 Rh 0.0689 0.7751 0.5000
13 Rh 0.2249 0.0689 0.5000
14 Rh 0.2751 0.5689 0.5000
15 Rh 0.4311 0.2751 0.5000
16 Rh 0.5000 0.0000 0.5000
17 Rh 0.5689 0.7249 0.5000
18 Rh 0.7249 0.4311 0.5000
19 Rh 0.7751 0.9311 0.5000
20 Rh 0.9311 0.2249 0.5000

---

GeSe2SBr after structural relaxation, computed with PBE-GGA.

## Properties
formation energy without anion corrections: 2.35 eV per formula unit
N(E_F): 0.545 states/eV per atom
space group: P4/mmm (123)
spin magnetization: 0.00 Bohr magnetons per cell
energy above the lowest structure with this stoichiometry: 0.0 kJ/mol of atoms
mass density: 4.7 g/cm³

Cell lengths 4.9037, 4.9037, 5.0787 Å; angles 90.00, 90.00, 90.00 degrees
Positions (direct):
1 Ge 0.0000 0.0000 0.0000
2 Se 0.0000 0.5000 0.5000
3 Se 0.5000 0.0000 0.5000
4 S 0.5000 0.5000 0.5000
5 Br 0.5000 0.5000 0.0000

---

SrLa2Mg2 after structural relaxation, computed with PBE-GGA.

## Properties
N(E_F): 1.136 states/eV per atom
space group: P4/mbm (127)
spin magnetization: 0.00 Bohr magnetons per cell
energy above the lowest structure with this stoichiometry: 0.0 kJ/mol of atoms
mass density: 4.0 g/cm³
energy of formation from the pure elements: 13 meV/atom

Cell lengths 9.6977, 9.6977, 3.6999 Å; angles 90.00, 90.00, 90.00 degrees
Positions (direct):
1 Sr 0.0000 0.0000 0.0000
2 Sr 0.5000 0.5000 0.0000
3 La 0.1134 0.3866 0.0000
4 La 0.3866 0.8866 0.0000
5 La 0.6134 0.1134 0.0000
6 La 0.8866 0.6134 0.0000
7 Mg 0.1778 0.6778 0.5000
8 Mg 0.3222 0.1778 0.5000
9 Mg 0.6778 0.8222 0.5000
10 Mg 0.8222 0.3222 0.5000

---

Cs2TcOs after structural relaxation, computed with PBE-GGA.

## Properties
N(E_F): 1.411 states/eV per atom
space group: Fm-3m (225)
spin magnetization: 7.00 Bohr magnetons per cell
mass density: 6.3 g/cm³
energy of formation from the pure elements: 2523 meV/atom

Cell lengths 5.9187, 5.9187, 5.9187 Å; angles 60.00, 60.00, 60.00 degrees
Positions (direct):
1 Cs 0.2500 0.2500 0.2500
2 Cs 0.7500 0.7500 0.7500
3 Tc 0.0000 0.0000 0.0000
4 Os 0.5000 0.5000 0.5000

---

LiPmY after structural relaxation, computed with PBE-GGA.

## Properties
N(E_F): 0.906 states/eV per atom
space group: C2/m (12)
spin magnetization: 0.00 Bohr magnetons per cell
energy above the lowest structure with this stoichiometry: 0.0 kJ/mol of atoms
mass density: 4.4 g/cm³
energy of formation from the pure elements: 64 meV/atom

Cell lengths 3.5459, 3.5459, 16.8356 Å; angles 96.00, 96.00, 60.04 degrees
Positions (direct):
1 Li 0.1905 0.1905 0.0706
2 Li 0.8095 0.8095 0.9294
3 Pm 0.0865 0.0865 0.7623
4 Pm 0.9135 0.9135 0.2377
5 Y 0.3631 0.3631 0.5883
6 Y 0.6369 0.6369 0.4117

---

Cs2GeP2 after structural relaxation, computed with PBE-GGA.

## Properties
space group: C2/m (12)
spin magnetization: 0.00 Bohr magnetons per cell
mass density: 3.0 g/cm³
energy of formation from the pure elements: -299 meV/atom

Cell lengths 8.4686, 8.4686, 11.1641 Å; angles 128.33, 128.33, 49.62 degrees
Positions (direct):
1 Cs 0.1302 0.1302 0.4590
2 Cs 0.2700 0.2700 0.1741
3 Cs 0.7300 0.7300 0.8259
4 Cs 0.8698 0.8698 0.5410
5 Ge 0.4670 0.4670 0.8386
6 Ge 0.5330 0.5330 0.1614
7 P 0.3465 0.3465 0.8964
8 P 0.4227 0.4227 0.6076
9 P 0.5773 0.5773 0.3924
10 P 0.6535 0.6535 0.1036

---

Cs2ThH2S4 after structural relaxation, computed with PBE-GGA.

## Properties
VASP energy: -4.796 eV/atom
N(E_F): 0.000 states/eV per atom
space group: P-1 (2)
spin magnetization: 0.00 Bohr magnetons per cell
mass density: 3.9 g/cm³

Cell lengths 4.1709, 7.6652, 9.2995 Å; angles 113.37, 102.67, 91.13 degrees
Positions (direct):
1 Cs 0.1470 0.1347 0.2799
2 Cs 0.8530 0.8653 0.7201
3 Th 0.0000 0.5000 0.0000
4 H 0.1480 0.3735 0.6601
5 H 0.8520 0.6265 0.3399
6 S 0.1739 0.6736 0.3500
7 S 0.4960 0.2627 0.0007
8 S 0.5040 0.7373 0.9993
9 S 0.8261 0.3264 0.6500

---

Ba2CePd2O6 after structural relaxation, computed with PBE-GGA.

## Properties
formation energy without anion corrections: -19.58 eV per formula unit
N(E_F): 0.628 states/eV per atom
space group: R-3m (166)
spin magnetization: 3.48 Bohr magnetons per cell
mass density: 5.9 g/cm³

Cell lengths 6.8897, 6.8897, 6.8897 Å; angles 54.63, 54.63, 54.63 degrees
Positions (direct):
1 Ba 0.2139 0.2139 0.2139
2 Ba 0.7861 0.7861 0.7861
3 Ce 0.0000 0.0000 0.0000
4 Pd 0.4150 0.4150 0.4150
5 Pd 0.5850 0.5850 0.5850
6 O 0.2133 0.7616 0.7616
7 O 0.2384 0.2384 0.7867
8 O 0.2384 0.7867 0.2384
9 O 0.7616 0.2133 0.7616
10 O 0.7616 0.7616 0.2133
11 O 0.7867 0.2384 0.2384